[1]
Computed, not measured: crystalline Si2IrAu at its relaxed geometry at the GGA-PBE level of DFT.

The structure in extended XYZ format:
```
4
Lattice="1.508 0.871 7.771 -1.508 0.871 7.771 0.000 -1.741 7.771" Properties=species:S:1:pos:R:3 pbc="T T T"
Si 0.000 0.000 0.000
Si 0.000 0.000 5.992
Ir 0.000 0.000 17.216
Au 0.000 0.000 11.858
```

Output
**Total magnetization**: 0.00 Bohr magnetons per cell
**Energy relative to the lowest polymorph listed for this composition**: 240 meV/atom
**Uncorrected energy**: -5.72 eV/atom
**Symmetry**: R3m (160)

[2]
Computed, not measured: crystalline Si2HgP at its relaxed geometry at the GGA-PBE level of DFT.

The structure in extended XYZ format:
```
4
Lattice="4.572 0.000 0.000 0.000 3.356 0.000 -0.981 0.000 5.219" Properties=species:S:1:pos:R:3 pbc="T T T"
Si 0.836 0.000 0.853
Si 2.755 0.000 4.366
Hg -0.491 1.678 2.609
P 2.286 1.678 0.000
```

Output
**Total magnetization**: 0.00 Bohr magnetons per cell
**Energy relative to the lowest polymorph listed for this composition**: 68 meV/atom
**Uncorrected energy**: -3.82 eV/atom
**Symmetry**: P2/m (10)

[3]
Computed, not measured: crystalline Pr4SmDy2Er2 at its relaxed geometry at the GGA-PBE level of DFT.

The structure in extended XYZ format:
```
9
Lattice="7.692 -2.557 0.000 7.692 2.557 0.000 -2.543 0.000 7.673" Properties=species:S:1:pos:R:3 pbc="T T T"
Pr -0.015 0.000 2.538
Pr 2.558 0.000 5.134
Pr 10.282 0.000 2.539
Pr 12.855 0.000 5.135
Sm 7.692 0.000 0.000
Dy 5.135 0.000 2.536
Dy 7.706 0.000 5.137
Er 0.047 0.000 7.668
Er 12.794 0.000 0.005
```

Output
**Total magnetization**: 0.00 Bohr magnetons per cell
**Calculated formation energy**: 0.02 eV/atom
**Uncorrected energy**: -4.66 eV/atom
**Symmetry**: C2/m (12)

[4]
Computed, not measured: crystalline CsNb2GeCl at its relaxed geometry at the GGA-PBE level of DFT.

The structure in extended XYZ format:
```
5
Lattice="5.185 0.000 0.000 0.000 5.185 0.000 0.000 0.000 5.666" Properties=species:S:1:pos:R:3 pbc="T T T"
Cs 0.000 0.000 0.000
Nb 0.000 2.592 0.000
Nb 2.592 0.000 0.000
Ge 0.000 0.000 2.833
Cl 2.592 2.592 2.833
```

Output
**Total magnetization**: 1.53 Bohr magnetons per cell
**Uncorrected energy**: -2.95 eV/atom
**Symmetry**: P4/mmm (123)

| no. | volume (Å³ per cell) |
| --- | --- |
| 1 | 61.22 |
| 2 | 80.07 |
| 3 | 301.78 |
| 4 | 152.31 |